Sc2TiCo3: relaxed, PBE.

DFT formation energy	-0.377	eV per atom
spin magnetization	1.17	μB/f.u.

Lattice parameters (Å, degrees): 4.3679 13.0844 3.0583 90.00 90.00 90.00
Space group Cmmm (No. 65)
Asymmetric unit:
Sc 0.0000 0.1664 0.0000 [4 per cell]
Ti 0.0000 0.5000 0.0000 [2 per cell]
Co 0.0000 0.0000 0.5000 [2 per cell]
Co 0.0000 0.3458 0.5000 [4 per cell]

***

BeSb2IrI: relaxed, PBE.

spin magnetization	0.00	μB/f.u.
excess energy over the best structure of this formula in the dataset	0.0889	eV/atom

Lattice parameters (Å, degrees): 4.7317 4.7317 4.9838 90.00 90.00 90.00
Space group P4/mmm (No. 123)
Asymmetric unit:
Be 0.0000 0.0000 0.0000 [1 per cell]
Sb 0.0000 0.5000 0.0000 [2 per cell]
Ir 0.5000 0.5000 0.5000 [1 per cell]
I 0.0000 0.0000 0.5000 [1 per cell]

***

CdIn2Sb: relaxed, PBE.

spin magnetization	0.00	μB/f.u.
excess energy over the best structure of this formula in the dataset	0.0158	eV/atom

Lattice parameters (Å, degrees): 6.1835 6.3907 5.7678 90.00 107.82 90.00
Space group C2/m (No. 12)
Asymmetric unit:
Cd 0.0000 0.0000 0.0000 [2 per cell]
In 0.0000 0.2495 0.5000 [4 per cell]
Sb 0.0000 0.5000 0.0000 [2 per cell]

***

Na6Hg23Sb: relaxed, PBE.

spin magnetization	0.00	μB/f.u.

Lattice parameters (Å, degrees): 14.6784 14.6784 14.6784 90.00 90.00 90.00
Space group Fm-3m (No. 225)
Asymmetric unit:
Na 0.0000 0.0000 0.2493 [24 per cell]
Hg 0.0000 0.0000 0.0000 [4 per cell]
Hg 0.0000 0.2500 0.2500 [24 per cell]
Hg 0.1289 0.1289 0.3711 [32 per cell]
Hg 0.1316 0.1316 0.1316 [32 per cell]
Sb 0.0000 0.0000 0.5000 [4 per cell]

***

Cd7AgHg2: relaxed, PBE.

DFT formation energy	0.019	eV per atom
spin magnetization	0.00	μB/f.u.
excess energy over the best structure of this formula in the dataset	0.0000	eV/atom

Lattice parameters (Å, degrees): 13.9380 8.0390 10.1623 90.00 126.23 90.00
Space group C2/c (No. 15)
Asymmetric unit:
Cd 0.0000 0.1338 0.2500 [4 per cell]
Cd 0.0705 0.3275 0.0568 [8 per cell]
Cd 0.1340 0.1998 0.8035 [8 per cell]
Cd 0.2003 0.3645 0.5644 [8 per cell]
Ag 0.0000 0.4977 0.2500 [4 per cell]
Hg 0.1892 0.0029 0.1020 [8 per cell]

***

ZrH6O2F6: relaxed, PBE.

spin magnetization	0.00	μB/f.u.

Lattice parameters (Å, degrees): 7.3346 12.7797 6.8383 90.00 113.17 90.00
Space group C2/c (No. 15)
Asymmetric unit:
Zr 0.0000 0.0465 0.2500 [4 per cell]
H 0.0892 0.3203 0.5698 [8 per cell]
H 0.1114 0.2672 0.1248 [8 per cell]
H 0.1186 0.3946 0.0513 [8 per cell]
O 0.0612 0.3206 0.0051 [8 per cell]
F 0.0211 0.0899 0.5596 [8 per cell]
F 0.1863 0.1850 0.3011 [8 per cell]
F 0.2101 0.4963 0.1069 [8 per cell]

***

PaTe5Pb2Au: relaxed, PBE.

spin magnetization	0.00	μB/f.u.

Lattice parameters (Å, degrees): 4.4281 19.5357 14.3338 90.00 90.00 90.00
Space group Cmc2_1 (No. 36)
Asymmetric unit:
Pa 0.0000 0.2031 0.0000 [4 per cell]
Te 0.0000 0.0502 0.0337 [4 per cell]
Te 0.0000 0.2788 0.6460 [4 per cell]
Te 0.0000 0.2846 0.3576 [4 per cell]
Te 0.0000 0.3577 0.9684 [4 per cell]
Te 0.0000 0.4836 0.2559 [4 per cell]
Pb 0.0000 0.0929 0.2546 [4 per cell]
Pb 0.0000 0.1134 0.6160 [4 per cell]
Au 0.0000 0.4151 0.4273 [4 per cell]

***

La8Ga3CuBr4: relaxed, PBE.

spin magnetization	0.00	μB/f.u.

Lattice parameters (Å, degrees): 8.8453 8.8453 21.5733 90.00 90.00 120.00
Space group R-3m (No. 166, hexagonal axes)
Asymmetric unit:
La 0.0000 0.0000 0.2454 [6 per cell]
La 0.0005 0.5003 0.2439 [18 per cell]
Ga 0.0000 0.5000 0.5000 [9 per cell]
Cu 0.0000 0.0000 0.5000 [3 per cell]
Br 0.0000 0.0000 0.0000 [3 per cell]
Br 0.0000 0.5000 0.0000 [9 per cell]

***

no.,DFT total energy (eV/atom)
1,-7.36
2,-3.44
3,-2.58
4,-0.78
5,-0.97
6,-5.45
7,-4.48
8,-4.59